Record 1
Entry from Alexandria via LeMat-Bulk: ScZnB after structural relaxation (PBE-GGA).

## Properties
formation energy from the elements	-44.9	kJ/mol of atoms
N(E_F)	0.62	states/eV/atom
E	-5.226	eV/atom
ρ	4.641	g/cm³

```
ScZnB
1.0
3.153 0.000 0.000
1.576 2.730 0.000
-0.002 0.002 10.075
Sc Zn B
2 2 2
Direct
0.124 0.685 0.017
0.124 0.685 0.361
0.457 0.018 0.788
0.791 0.351 0.590
0.791 0.352 0.189
0.457 0.018 0.189
```

***

Record 2
Entry from Alexandria via LeMat-Bulk: ScZnB after structural relaxation (PBE-GGA).

## Properties
formation energy from the elements	-5.1	kJ/mol of atoms
N(E_F)	0.15	states/eV/atom
E	-4.814	eV/atom
ρ	4.987	g/cm³

```
ScZnB
1.0
-2.153 1.798 -3.157
-0.891 -3.956 1.179
-3.507 1.810 3.423
Sc Zn B
2 2 2
Direct
0.333 0.667 0.750
0.667 0.333 0.250
0.000 0.000 0.000
0.000 0.000 0.500
0.333 0.667 0.250
0.667 0.333 0.750
```

***

Record 3
Entry from Alexandria via LeMat-Bulk: ScZnB after structural relaxation (PBE-GGA).

## Properties
formation energy from the elements	-28.0	kJ/mol of atoms
N(E_F)	0.45	states/eV/atom
E	-5.051	eV/atom
ρ	4.319	g/cm³

```
ScZnB
1.0
-0.587 2.877 -1.068
-2.674 -1.590 -2.813
-5.651 2.061 4.101
Sc Zn B
2 2 2
Direct
0.868 0.405 0.829
0.578 0.897 0.409
0.185 0.400 0.194
0.274 0.903 0.016
0.037 0.392 0.492
0.492 0.394 0.581
```

***

Record 4
Entry from Alexandria via LeMat-Bulk: ScZnB after structural relaxation (PBE-GGA).

## Properties
formation energy from the elements	-27.2	kJ/mol of atoms
N(E_F)	0.00	states/eV/atom
E	-5.043	eV/atom
ρ	4.666	g/cm³

```
ScZnB
1.0
0.000 2.783 2.783
2.783 0.000 2.783
2.783 2.783 0.000
Sc Zn B
1 1 1
Direct
0.250 0.250 0.250
0.750 0.750 0.750
0.000 0.000 0.000
```

***

Record 5
Entry from Alexandria via LeMat-Bulk: ScZnB after structural relaxation (PBE-GGA).

## Properties
formation energy from the elements	-44.2	kJ/mol of atoms
N(E_F)	0.90	states/eV/atom
E	-5.219	eV/atom
ρ	4.635	g/cm³

```
ScZnB
1.0
3.153 0.000 0.003
-1.576 2.730 -0.003
1.573 -0.907 10.088
Sc Zn B
2 2 2
Direct
0.510 0.750 0.017
0.396 0.864 0.361
0.253 0.006 0.788
0.653 0.607 0.590
0.786 0.474 0.189
0.120 0.140 0.189
```

***

Record 6
Entry from Alexandria via LeMat-Bulk: ScZnB after structural relaxation (PBE-GGA).

## Properties
formation energy from the elements	-25.7	kJ/mol of atoms
N(E_F)	0.69	states/eV/atom
E	-5.027	eV/atom
ρ	4.713	g/cm³

```
ScZnB
1.0
7.220 -0.006 0.006
-0.705 3.123 0.000
-1.081 -0.243 3.787
Sc Zn B
2 2 2
Direct
0.275 0.631 0.222
0.757 0.872 0.463
0.150 0.070 0.660
0.534 0.261 0.852
0.989 0.989 0.080
0.880 0.434 0.025
```

***

Record 7
Entry from Alexandria via LeMat-Bulk: ScZnB after structural relaxation (PBE-GGA).

## Properties
formation energy from the elements	-25.3	kJ/mol of atoms
N(E_F)	0.33	states/eV/atom
E	-5.023	eV/atom
ρ	4.796	g/cm³

```
ScZnB
1.0
7.942 0.001 -0.009
0.000 3.143 0.000
0.750 0.000 3.361
Sc Zn B
2 2 2
Direct
0.319 0.506 0.926
0.760 0.506 0.705
0.086 0.007 0.542
0.543 0.006 0.313
0.888 0.006 0.141
0.988 0.506 0.091
```

***

Record 8
Entry from Alexandria via LeMat-Bulk: ScZnB after structural relaxation (PBE-GGA).

## Properties
formation energy from the elements	-2.9	kJ/mol of atoms
N(E_F)	0.73	states/eV/atom
E	-4.791	eV/atom
ρ	4.142	g/cm³

```
ScZnB
1.0
5.084 0.000 0.000
0.000 3.123 0.000
0.000 0.000 12.237
Sc Zn B
4 4 4
Direct
0.307 0.250 0.330
0.193 0.750 0.830
0.693 0.750 0.670
0.807 0.250 0.170
0.683 0.250 0.876
0.817 0.750 0.376
0.317 0.750 0.124
0.183 0.250 0.624
0.000 0.000 0.000
0.500 0.500 0.500
0.500 0.000 0.500
0.000 0.500 0.000
```

***

Question: E of number 7 (ScZnB)?
Answer: -5.023 eV/atom

***

Question: What is the E in the sixth record?
Answer: -5.027 eV/atom